VASP calculation (PBE) on a relaxed structure of AlCo5.

Lattice parameters (Å, degrees): 2.614 2.614 9.848 90.00 90.00 90.00
Space group P4/mmm (No. 123)
Symmetry-distinct sites (fractional):
Al: 0.000 0.000 0.000 x1
Co: 0.000 0.000 0.332 x2
Co: 0.500 0.500 0.171 x2
Co: 0.500 0.500 0.500 x1

Output
energy relative to the lowest polymorph listed for this composition = 0.025 eV/atom
total magnetization = 7.23 μB per cell

=====

VASP calculation (PBE) on a relaxed structure of Al2Co.

Lattice parameters (Å, degrees): 4.0699 4.0699 2.7375 90.00 90.00 120.00
Space group P-3m1 (No. 164)
Symmetry-distinct sites (fractional):
Al: 0.3333 0.6667 0.2204 x2
Co: 0.0000 0.0000 0.5000 x1

Output
total magnetization = 0.00 μB per cell

=====

VASP calculation (PBE) on a relaxed structure of AlCo.

Lattice parameters (Å, degrees): 5.322 5.322 5.322 90.00 90.00 90.00
Space group F-43m (No. 216)
Symmetry-distinct sites (fractional):
Al: 0.000 0.000 0.000 x4
Co: 0.250 0.250 0.750 x4

Output
total magnetization = 0.25 μB per cell

=====

VASP calculation (PBE) on a relaxed structure of AlCo.

Lattice parameters (Å, degrees): 8.319 8.319 3.542 90.00 90.00 90.00
Space group I4/m (No. 87)
Symmetry-distinct sites (fractional):
Al: 0.130 0.794 0.000 x8
Co: 0.088 0.390 0.000 x8

Output
total magnetization = 0.00 μB per cell

=====

VASP calculation (PBE) on a relaxed structure of Al4Co5.

Lattice parameters (Å, degrees): 7.1066 7.1066 4.9231 90.00 90.00 120.00
Space group P6_3/mcm (No. 193)
Symmetry-distinct sites (fractional):
Al: 0.0000 0.0000 0.0000 x2
Al: 0.0000 0.3765 0.2500 x6
Co: 0.0000 0.2940 0.7500 x6
Co: 0.3333 0.6667 0.0000 x4

Output
energy relative to the lowest polymorph listed for this composition = 0.000 eV/atom
total magnetization = 5.93 μB per cell

=====

VASP calculation (PBE) on a relaxed structure of AlCo.

Lattice parameters (Å, degrees): 4.621 4.687 9.070 90.00 90.00 90.00
Space group P2_12_12_1 (No. 19)
Symmetry-distinct sites (fractional):
Al: 0.157 0.019 0.201 x4
Al: 0.157 0.663 0.942 x4
Co: 0.151 0.493 0.683 x4
Co: 0.175 0.819 0.448 x4

Output
total magnetization = 4.79 μB per cell

=====

Result set for E_form: -0.10; -0.25; 0.93; 0.00; -0.31; -0.37 eV per atom, one per record in the order listed.